A crystal of Na14Ni2O9 relaxed with PBEsol. Source: the Alexandria database, functional meta-GGA SCAN.

The structure in CIF format:
```
data_Na14Ni2O9
_chemical_formula_sum 'Na14 Ni2 O9'
_space_group_name_H-M_alt 'P -3'
_space_group_IT_number 147
_cell_length_a 6.5707
_cell_length_b 6.5707
_cell_length_c 9.2281
_cell_angle_alpha 90.00
_cell_angle_beta 90.00
_cell_angle_gamma 120.00
loop_
_space_group_symop_operation_xyz
'x,y,z'
'-x,-y,-z'
'-y,x-y,z'
'y,-x+y,-z'
'-x+y,-x,z'
'x-y,x,-z'
loop_
_atom_site_label
_atom_site_type_symbol
_atom_site_fract_x
_atom_site_fract_y
_atom_site_fract_z
_atom_site_occupancy
Na1 Na 0.0000 0.0000 0.2492 1
Na2 Na 0.0331 0.3602 0.5926 1
Na3 Na 0.0660 0.6875 0.9061 1
Ni1 Ni 0.3333 0.6667 0.2368 1
O1 O 0.0000 0.0000 0.5000 1
O2 O 0.0623 0.6967 0.1637 1
O3 O 0.3333 0.6667 0.4531 1
```

Values from the calculation:
Its formation energy without anion corrections is -1.307 eV per atom. The density is 2807 kg/m³. The crystal system is trigonal.